GGA-PBE Pm2Cd2BRh4, relaxed; SG = No. 139; DFT formation energy = -367.9 meV per atom
1.0
6.1373 -0.0422 -0.0609
-2.9830 5.3637 0.0609
-2.9830 -1.8274 5.0432
Cd Pm B Rh
2 2 1 4
Cartesian
0.0856 -0.0507 3.7672 Cd
0.0856 3.5448 1.2760 Cd
-4.2024 2.4909 3.5953 Pm
-1.7636 1.0454 1.5088 Pm
0.0000 0.0000 0.0000 B
-2.9830 3.6626 1.2395 Rh
-1.3211 2.6775 3.8646 Rh
-2.9830 -0.1263 3.8646 Rh
1.4923 0.8166 1.1786 Rh

GGA-PBE Ti6OsRh5, relaxed; SG = No. 71; DFT formation energy = -725.2 meV per atom
1.0
4.1324 0.0176 -1.2058
-0.8850 5.6670 -2.9509
-0.0419 0.2504 7.5428
Ti Rh Os
6 5 1
Cartesian
2.9018 3.5233 2.3142 Ti
0.3037 2.4117 1.0718 Ti
1.3963 4.2992 -2.8365 Ti
1.8093 1.6358 6.2226 Ti
-0.1456 5.2909 -0.4268 Ti
3.3511 0.6441 3.8129 Ti
1.0627 2.0798 3.6743 Rh
0.5901 4.8564 2.1013 Rh
2.1428 3.8552 -0.2882 Rh
2.6154 1.0786 1.2848 Rh
-0.4425 2.8335 -1.4754 Rh
0.0000 0.0000 0.0000 Os

GGA-PBE KInC, relaxed; SG = No. 129; DFT formation energy = 932.7 meV per atom
1.0
4.1930 0.0000 0.0000
0.0000 4.1930 0.0000
0.0000 0.0000 7.2396
In C K
2 2 2
Cartesian
0.0000 0.0000 3.6198 In
2.0965 2.0965 3.6198 In
2.0965 0.0000 2.3524 C
0.0000 2.0965 4.8872 C
0.0000 2.0965 0.9398 K
2.0965 0.0000 6.2998 K

GGA-PBE HfCuSb2, relaxed; SG = No. 225; formation energy from raw total energies = 11.9 kJ/mol of atoms
1.0
-1.1319 1.1179 4.7029
-3.8908 2.9207 0.9898
-4.0725 -1.9159 2.0957
Hf Sb Cu
1 2 1
Cartesian
-4.5476 1.0613 3.8942 Hf
-6.8214 1.5920 5.8413 Sb
-2.2738 0.5307 1.9471 Sb
0.0000 0.0000 0.0000 Cu

GGA-PBE SrZr3Hg, relaxed; SG = No. 221; polymorph energy (0 for the lowest one) = 0.944 eV per atom; DFT formation energy = 1760.9 meV per atom
1.0
-2.2563 -0.4495 4.6341
-4.5191 -1.0273 -2.2999
1.1200 -5.0508 0.0554
Zr Sr Hg
3 1 1
Cartesian
0.5600 -2.5254 0.0277 Zr
-1.1281 -0.2247 2.3171 Zr
-2.2596 -0.5137 -1.1500 Zr
0.0000 0.0000 0.0000 Sr
-2.8277 -3.2638 1.1948 Hg

GGA-PBE Tc2HgAs, relaxed; SG = No. 123; polymorph energy (0 for the lowest one) = 0.145 eV per atom; DFT formation energy = 276.2 meV per atom
1.0
-1.8459 0.0912 2.4527
1.8245 -2.0018 1.4475
3.6914 5.2326 2.5837
Tc Hg As
2 1 1
Cartesian
0.1862 0.2640 0.1304 Tc
1.6594 2.3523 1.1615 Tc
2.7578 2.9691 3.8879 Hg
0.9121 0.3528 2.5960 As

GGA-PBE YNbRu2, relaxed; SG = No. 225; DFT formation energy = -274.2 meV per atom
1.0
-3.1935 -2.8887 -1.7181
0.9368 -2.5058 -3.7874
0.5964 -4.5855 0.3419
Y Ru Nb
1 2 1
Cartesian
-0.4151 -2.4950 -1.2909 Y
-0.8299 -4.9896 -2.5816 Ru
-0.0003 -0.0005 -0.0002 Ru
-1.2453 -7.4850 -3.8727 Nb

GGA-PBE BeZnIn2, relaxed; SG = No. 8; DFT formation energy = 261.7 meV per atom
1.0
-1.6173 -0.5880 3.9739
1.6400 -0.8883 3.9083
0.5824 5.6291 3.1491
Zn Be In
1 1 2
Cartesian
0.2306 1.2989 5.5028 Zn
0.2246 1.7347 3.2096 Be
0.0508 -1.0930 7.5205 In
0.4245 2.8127 8.1965 In

GGA-PBE InWBr2, relaxed; SG = No. 225; formation energy from raw total energies = 105.1 kJ/mol of atoms; polymorph energy (0 for the lowest one) = 0.968 eV per atom
1.0
2.1562 -3.4291 2.8371
-2.7228 -3.5863 2.0449
0.4140 -4.6518 -1.6268
Br In W
2 1 1
Cartesian
-0.0381 -2.9168 0.8138 Br
-0.1144 -8.7504 2.4414 Br
0.0000 0.0000 0.0000 In
-0.0763 -5.8336 1.6276 W

GGA-PBE PmPr4Al5, relaxed; SG = No. 123; DFT formation energy = -344.4 meV per atom
1.0
-0.7518 3.4571 -1.2446
-3.6645 -0.7983 -0.0041
-1.3392 6.0568 17.6333
Al Pr Pm
5 4 1
Cartesian
-2.8778 4.3578 8.1923 Al
-2.3373 1.9135 1.0763 Al
-3.4182 6.8021 15.3084 Al
-2.6083 3.1390 4.6441 Al
-3.1472 5.5766 11.7405 Al
-1.0741 4.8575 14.1416 Pr
-0.5349 2.4190 7.0426 Pr
-0.2652 1.1994 3.4917 Pr
-0.8044 3.6378 10.5907 Pr
0.0000 0.0000 0.0000 Pm

GGA-PBE SrZnSb, relaxed; SG = No. 216; formation energy from raw total energies = -41.9 kJ/mol of atoms; polymorph energy (0 for the lowest one) = 0.215 eV per atom
1.0
-2.6465 3.9947 1.4327
-4.4789 -0.6046 2.1420
-0.5989 0.9890 4.8660
Sb Sr Zn
1 1 1
Cartesian
0.0000 0.0000 0.0000 Sb
-3.8622 2.1895 4.2203 Sr
-5.7933 3.2843 6.3305 Zn

GGA-PBE Th7PC5, relaxed; SG = No. 12; DFT formation energy = -467.2 meV per atom
1.0
-3.4892 1.5936 0.1993
-0.4659 -5.9918 2.7376
5.1516 8.7746 20.0277
C P Th
10 2 14
Cartesian
-0.8318 -2.2026 3.0481 C
-0.0014 -0.0034 0.0021 C
2.0254 6.5721 19.9206 C
-1.2464 1.4879 3.2958 C
-0.1504 3.3571 7.5366 C
0.9799 0.8844 10.0825 C
2.5747 4.3848 10.0153 C
0.2144 3.4870 12.8845 C
1.3448 1.0144 15.4302 C
2.4398 2.8813 19.6728 C
3.0105 4.5772 16.1056 P
-1.8162 -0.2060 6.8641 P
0.3070 3.3867 15.3079 Th
1.1438 0.9100 12.7471 Th
2.7385 4.4220 12.5851 Th
3.3737 4.7084 21.4139 Th
-3.0476 -2.6128 4.5492 Th
2.0306 7.1695 15.2365 Th
1.1359 4.7997 18.5193 Th
0.8872 0.9846 7.6591 Th
-2.1802 -0.3390 1.5547 Th
0.0578 -0.4300 4.4494 Th
4.2411 6.9822 18.4192 Th
0.0505 3.4614 10.2200 Th
-1.5443 -0.0507 10.3816 Th
-0.8368 -2.7992 7.7308 Th

GGA-PBE KRuN2F, relaxed; SG = No. 123; formation energy from raw total energies = -25.0 kJ/mol of atoms; polymorph energy (0 for the lowest one) = 0.000 eV per atom
1.0
3.8120 0.0000 0.0000
0.0000 3.8120 0.0000
0.0000 0.0000 4.7983
N Ru F K
2 1 1 1
Cartesian
0.0000 1.9060 0.0000 N
1.9060 0.0000 0.0000 N
0.0000 0.0000 0.0000 Ru
0.0000 0.0000 2.3992 F
1.9060 1.9060 2.3992 K

GGA-PBE Ba2TmZnO5, relaxed; SG = No. 36; formation energy from raw total energies = -229.8 kJ/mol of atoms
1.0
-2.0964 0.2133 -2.8471
6.7710 -2.7046 -2.9850
-3.3889 -10.3799 1.7178
O Ba Zn Tm
10 4 2 2
Cartesian
3.9180 -1.8107 -3.0207 O
0.8319 -2.5126 -3.0041 O
1.1441 -8.2443 -1.4601 O
-2.0107 -2.8991 -0.9400 O
-0.9561 -5.9264 -1.9433 O
0.4668 -0.5550 -0.3853 O
-1.9948 -10.0618 -1.4882 O
3.0331 -10.7787 -3.0408 O
2.3183 -7.7239 -4.4890 O
2.3369 -5.6999 -2.1477 O
0.4090 -10.2946 -3.2757 Ba
0.4212 -3.9718 -0.6077 Ba
2.7898 -3.8009 -4.5423 Ba
-1.0409 -7.6518 0.1933 Ba
-3.7115 -9.9919 -0.2189 Zn
3.6501 -7.0055 -3.2125 Zn
2.2690 -1.2519 -1.7646 Tm
0.5850 -6.8158 -3.1447 Tm

GGA-PBE Ga2As2Au, relaxed; SG = No. 139; polymorph energy (0 for the lowest one) = 0.124 eV per atom; DFT formation energy = 245.1 meV per atom
1.0
-0.9397 -4.1794 -1.2047
2.9717 0.2830 -3.3000
4.7436 -3.7103 0.9533
Ga Au As
2 1 2
Cartesian
1.8727 -2.3532 -1.5156 Ga
4.9029 -5.2535 -2.0358 Ga
0.0000 0.0000 0.0000 Au
4.3657 -2.6877 -2.2995 As
2.4100 -4.9189 -1.2518 As

GGA-PBE CeHfPa2N5, relaxed; SG = No. 36; formation energy from raw total energies = -135.1 kJ/mol of atoms
1.0
-2.3709 -1.7615 -1.7365
1.5451 -4.6363 5.9735
-7.2074 4.4545 5.3216
N Ce Pa Hf
10 2 4 2
Cartesian
-7.3002 0.7997 5.7754 N
-4.5744 -0.0618 6.3080 N
-2.1889 -2.6663 2.3130 N
-5.1589 -2.7929 6.4962 N
-4.5373 -0.2798 3.0984 N
-1.4362 -4.0704 6.0897 N
-2.4365 -1.6901 5.0409 N
-6.7957 0.3760 8.8967 N
-0.6035 -0.5538 1.3858 N
-6.5392 2.0914 3.4262 N
-3.1379 -3.0770 7.4054 Ce
-8.2489 3.2065 4.6294 Ce
-6.6501 -1.2251 6.9418 Pa
-2.3459 -4.0918 3.9733 Pa
-4.9382 1.6856 5.0322 Pa
-2.0070 -0.3326 3.0775 Pa
-4.6054 -1.7374 4.6699 Hf
0.1398 -2.4108 2.2546 Hf

GGA-PBE KAuNO2, relaxed; SG = No. 123; formation energy from raw total energies = 203.9 kJ/mol of atoms
1.0
4.7627 0.0000 0.0000
0.0000 4.7627 0.0000
0.0000 0.0000 4.9189
O Au N K
2 1 1 1
Cartesian
0.0000 2.3813 0.0000 O
2.3813 0.0000 0.0000 O
2.3813 2.3813 2.4595 Au
0.0000 0.0000 2.4595 N
0.0000 0.0000 0.0000 K

GGA-PBE Ca2AcCe, relaxed; SG = No. 123; polymorph energy (0 for the lowest one) = 0.000 eV per atom; DFT formation energy = 205.5 meV per atom
1.0
-0.3720 1.5340 -3.9802
2.5963 -3.0886 -1.4330
-6.9391 -5.2037 -1.3570
Ca Ce Ac
2 1 1
Cartesian
-5.3054 -3.9785 -1.0375 Ca
-1.6337 -1.2251 -0.3195 Ca
1.1122 -0.7773 -2.7066 Ce
-2.3574 -3.3791 -3.3851 Ac

GGA-PBE Mg2CrRe, relaxed; SG = No. 123; polymorph energy (0 for the lowest one) = 0.344 eV per atom; DFT formation energy = 501.1 meV per atom
1.0
2.6357 0.0000 0.0000
0.0000 2.6357 0.0000
0.0000 0.0000 8.9689
Cr Re Mg
1 1 2
Cartesian
1.3178 1.3178 6.7267 Cr
1.3178 1.3178 2.2422 Re
0.0000 0.0000 8.8989 Mg
0.0000 0.0000 4.5545 Mg

GGA-PBE CsTlHSe, relaxed; SG = No. 5; polymorph energy (0 for the lowest one) = 0.008 eV per atom
1.0
-1.0878 -3.8720 -1.2463
11.7089 -4.7143 4.4261
-1.7004 -0.7058 3.7466
H Se Tl Cs
2 2 2 2
Cartesian
7.5490 -3.7346 5.0483 H
2.5448 -1.0246 0.9620 H
5.6339 -4.4234 1.7121 Se
-1.0707 -2.4191 1.3724 Se
5.7988 -3.0300 4.3867 Tl
0.7946 -0.3199 0.3004 Tl
8.8273 -5.7091 2.9193 Cs
2.1227 -3.7048 2.5795 Cs

GGA-PBE Pu2SbP, relaxed; SG = No. 160; formation energy from raw total energies = -74.4 kJ/mol of atoms
1.0
4.0376 0.0000 0.0000
2.0188 3.4967 0.0000
2.0188 1.1656 7.5118
P Pu Sb
1 2 1
Cartesian
6.0565 3.4967 7.4700 P
2.0188 1.1656 1.6083 Pu
2.0188 1.1656 5.9153 Pu
4.0376 2.3311 3.7859 Sb

GGA-PBE SnTe2I, relaxed; SG = No. 225; formation energy from raw total energies = 25.6 kJ/mol of atoms; polymorph energy (0 for the lowest one) = 0.334 eV per atom
1.0
-1.9246 -3.1380 -4.1505
-3.7852 2.0479 -3.5009
1.4082 1.1615 -5.2388
Te Sn I
2 1 1
Cartesian
-3.2262 0.0536 -9.6676 Te
-1.0754 0.0179 -3.2225 Te
0.0000 0.0000 0.0000 Sn
-2.1508 0.0357 -6.4451 I

GGA-PBE NaTl6Bi, relaxed; SG = No. 123; DFT formation energy = -59.8 meV per atom
1.0
5.6261 0.0000 0.0000
0.0000 5.6261 0.0000
0.0000 0.0000 7.7202
Tl Na Bi
6 1 1
Cartesian
0.0000 2.8131 1.9002 Tl
0.0000 2.8131 5.8200 Tl
2.8131 2.8131 3.8601 Tl
2.8131 2.8131 0.0000 Tl
2.8131 0.0000 5.8200 Tl
2.8131 0.0000 1.9002 Tl
0.0000 0.0000 0.0000 Na
0.0000 0.0000 3.8601 Bi

GGA-PBE BaNa2Tc2O7, relaxed; SG = No. 71; formation energy from raw total energies = -164.1 kJ/mol of atoms
1.0
4.0054 0.0000 -0.0003
0.0000 4.0118 0.0002
-2.0035 -2.0054 9.8126
O Tc Na Ba
7 2 2 1
Cartesian
-0.0008 0.0005 9.8125 O
0.0005 2.0051 1.9826 O
2.0033 -0.0005 1.9828 O
2.0014 0.0012 7.8298 O
-0.0010 0.0006 5.8892 O
2.0029 2.0057 3.9231 O
-0.0013 2.0068 7.8295 O
-0.0008 0.0012 7.7630 Tc
2.0027 2.0051 2.0496 Tc
0.0000 2.0064 4.9164 Na
2.0019 -0.0001 4.8964 Na
0.0000 4.0117 0.0003 Ba

GGA-PBE Ce2ErCd, relaxed; SG = No. 225; polymorph energy (0 for the lowest one) = 0.112 eV per atom; DFT formation energy = 85.7 meV per atom
1.0
-4.2807 0.6852 -3.3259
-2.9455 -4.3197 -1.5871
-5.0754 -0.6935 1.9012
Ce Er Cd
2 1 1
Cartesian
-9.2261 -3.2460 -2.2588 Ce
-3.0754 -1.0820 -0.7529 Ce
0.0000 0.0000 0.0000 Er
-6.1508 -2.1640 -1.5059 Cd